# 1
Entry from Alexandria via LeMat-Bulk: a relaxed structure of InHgOs2 (PBE-GGA).

Calculated values
magnetization: 0.0 μB/f.u.
volume: 17.96 A^3/atom
raw total energy: -23.37 eV per formula unit
DFT formation energy: 0.53 eV/atom
theoretical density: 16.09 g/cm³

a = 9.8059 Å, b = 9.8059 Å, c = 9.8059 Å
α = 17.19°, β = 17.19°, γ = 17.19°
Sites, in units of the cell vectors:
Hg 0.5059 0.5059 0.5059
In 0.7426 0.7426 0.7426
Os 0.9929 0.9929 0.9929
Os 0.2586 0.2586 0.2586

=====

# 2
Entry from Alexandria via LeMat-Bulk: a relaxed structure of ZrBeSe4 (PBE-GGA).

Calculated values
magnetization: 0.0 μB/f.u.
volume: 20.56 A^3/atom
raw total energy: -22.18 eV per formula unit
theoretical density: 5.60 g/cm³

a = 5.5878 Å, b = 5.5878 Å, c = 5.5878 Å
α = 60.00°, β = 60.00°, γ = 60.00°
Sites, in units of the cell vectors:
Zr 0.7500 0.7500 0.7500
Be 0.0000 0.0000 0.0000
Se 0.8749 0.3750 0.3750
Se 0.3750 0.3750 0.8749
Se 0.3750 0.8749 0.3750
Se 0.3750 0.3750 0.3750

=====

# 3
Entry from Alexandria via LeMat-Bulk: a relaxed structure of Sb4POs (PBE-GGA).

Calculated values
magnetization: 2.6 μB/f.u.
volume: 25.53 A^3/atom
raw total energy: -24.54 eV per formula unit
theoretical density: 7.68 g/cm³

a = 6.0055 Å, b = 6.0055 Å, c = 6.0055 Å
α = 60.00°, β = 60.00°, γ = 60.00°
Sites, in units of the cell vectors:
Sb 0.8743 0.3752 0.3752
Sb 0.3752 0.3752 0.8743
Sb 0.3752 0.8743 0.3752
Sb 0.3752 0.3752 0.3752
P 0.0000 0.0000 0.0000
Os 0.7500 0.7500 0.7500

=====

# 4
Entry from Alexandria via LeMat-Bulk: a relaxed structure of BaCu2Bi2 (PBE-GGA).

Calculated values
magnetization: 0.0 μB/f.u.
volume: 26.01 A^3/atom
raw total energy: -17.45 eV per formula unit
DFT formation energy: 0.09 eV/atom
theoretical density: 8.71 g/cm³

a = 8.7539 Å, b = 8.7539 Å, c = 3.3937 Å
α = 90.00°, β = 90.00°, γ = 90.00°
Sites, in units of the cell vectors:
Bi 0.3625 0.8625 0.0000
Bi 0.8625 0.6375 0.0000
Bi 0.6375 0.1375 0.0000
Bi 0.1375 0.3625 0.0000
Cu 0.1482 0.6482 0.5000
Cu 0.6482 0.8518 0.5000
Cu 0.8518 0.3518 0.5000
Cu 0.3518 0.1482 0.5000
Ba 0.0000 0.0000 0.0000
Ba 0.5000 0.5000 0.0000

=====

# 5
Entry from Alexandria via LeMat-Bulk: a relaxed structure of Sr2UN3 (PBE-GGA).

Calculated values
magnetization: 1.0 μB/f.u.
volume: 17.06 A^3/atom
raw total energy: -46.08 eV per formula unit
theoretical density: 7.39 g/cm³

a = 3.5834 Å, b = 5.0749 Å, c = 6.4277 Å
α = 113.25°, β = 106.19°, γ = 90.00°
Sites, in units of the cell vectors:
Sr 0.1644 0.6644 0.3288
Sr 0.8356 0.3356 0.6712
U 0.5000 0.0000 0.0000
N 0.5000 0.5000 0.0000
N 0.1230 0.1230 0.2459
N 0.8770 0.8770 0.7541

=====

# 6
Entry from Alexandria via LeMat-Bulk: a relaxed structure of NaPrOsO6 (PBE-GGA).

Calculated values
magnetization: 0.0 μB/f.u.
volume: 14.52 A^3/atom
raw total energy: -62.54 eV per formula unit
theoretical density: 5.72 g/cm³

a = 5.5207 Å, b = 5.5207 Å, c = 4.9526 Å
α = 90.00°, β = 90.00°, γ = 60.00°
Sites, in units of the cell vectors:
Na 0.6666 0.6667 0.5000
Pr 0.0000 0.0000 0.0000
Os 0.3333 0.3333 0.5000
O 0.0630 0.3201 0.2817
O 0.3200 0.0631 0.7183
O 0.6168 0.3201 0.7183
O 0.0630 0.6169 0.7182
O 0.3201 0.6169 0.2817
O 0.6169 0.0630 0.2818

=====

# 7
Entry from Alexandria via LeMat-Bulk: a relaxed structure of Zn6Hg (PBE-GGA).

Calculated values
magnetization: 0.0 μB/f.u.
volume: 25.50 A^3/atom
raw total energy: -4.89 eV per formula unit
DFT formation energy: 0.44 eV/atom
theoretical density: 5.52 g/cm³

a = 6.1438 Å, b = 6.1438 Å, c = 6.1438 Å
α = 109.47°, β = 109.47°, γ = 109.47°
Sites, in units of the cell vectors:
Zn 0.2500 0.7500 0.5000
Zn 0.5000 0.7500 0.2500
Zn 0.2500 0.5000 0.7500
Zn 0.7500 0.2500 0.5000
Zn 0.5000 0.2500 0.7500
Zn 0.7500 0.5000 0.2500
Hg 0.0000 0.0000 0.0000

=====

# 8
Entry from Alexandria via LeMat-Bulk: a relaxed structure of Tm3PuSc4 (PBE-GGA).

Calculated values
magnetization: 6.4 μB/f.u.
volume: 26.58 A^3/atom
raw total energy: -52.49 eV per formula unit
DFT formation energy: 0.07 eV/atom
theoretical density: 7.27 g/cm³

a = 4.7246 Å, b = 9.4612 Å, c = 9.5145 Å
α = 90.00°, β = 90.00°, γ = 90.00°
Sites, in units of the cell vectors:
Tm 0.5644 0.6282 0.0000
Tm 0.0644 0.6311 0.2518
Tm 0.5644 0.3689 0.2482
Tm 0.0644 0.3718 0.5000
Tm 0.5644 0.3689 0.7518
Tm 0.0644 0.6311 0.7482
Pu 0.0644 0.3638 0.0000
Pu 0.5644 0.6362 0.5000
Sc 0.0644 0.8817 0.0000
Sc 0.5644 0.1166 0.0000
Sc 0.0644 0.1190 0.2469
Sc 0.5644 0.8810 0.2531
Sc 0.0644 0.8834 0.5000
Sc 0.5644 0.1183 0.5000
Sc 0.5644 0.8810 0.7469
Sc 0.0644 0.1190 0.7531

=====

# 9
Entry from Alexandria via LeMat-Bulk: a relaxed structure of NaFeP2Cl (PBE-GGA).

Calculated values
magnetization: 3.0 μB/f.u.
volume: 23.39 A^3/atom
raw total energy: -15.89 eV per formula unit
theoretical density: 2.50 g/cm³

a = 4.9166 Å, b = 4.9166 Å, c = 4.8386 Å
α = 90.00°, β = 90.00°, γ = 90.00°
Sites, in units of the cell vectors:
P 0.0000 0.5000 0.0000
P 0.5000 0.0000 0.0000
Na 0.0000 0.0000 0.0000
Fe 0.5000 0.5000 0.5000
Cl 0.0000 0.0000 0.5000

=====

# 10
Entry from Alexandria via LeMat-Bulk: a relaxed structure of Er12Co5Bi (PBE-GGA).

Calculated values
magnetization: 0.0 μB/f.u.
volume: 23.82 A^3/atom
raw total energy: -99.68 eV per formula unit
DFT formation energy: -0.31 eV/atom
theoretical density: 9.72 g/cm³

a = 8.2325 Å, b = 8.2325 Å, c = 8.2325 Å
α = 110.71°, β = 111.02°, γ = 106.72°
Sites, in units of the cell vectors:
Er 0.2880 0.1834 0.4714
Er 0.7120 0.8166 0.5286
Er 0.2880 0.8166 0.1046
Er 0.7120 0.1834 0.8954
Er 0.6200 0.3114 0.3086
Er 0.3800 0.6886 0.6914
Er 0.0029 0.3114 0.6914
Er 0.9971 0.6886 0.3086
Er 0.2070 0.4016 0.1946
Er 0.7930 0.5984 0.8054
Er 0.2070 0.0124 0.8054
Er 0.7930 0.9876 0.1946
Co 0.0000 0.3768 0.3768
Co 0.0000 0.6232 0.6232
Co 0.3881 0.8881 0.5000
Co 0.6119 0.1119 0.5000
Co 0.0000 0.0000 0.0000
Bi 0.5000 0.5000 0.0000

=====

# 11
Entry from Alexandria via LeMat-Bulk: a relaxed structure of AlInPb2 (PBE-GGA).

Calculated values
magnetization: 0.0 μB/f.u.
volume: 28.23 A^3/atom
raw total energy: -13.28 eV per formula unit
DFT formation energy: 0.15 eV/atom
theoretical density: 8.18 g/cm³

a = 6.9873 Å, b = 6.9873 Å, c = 5.3503 Å
α = 68.37°, β = 68.37°, γ = 27.86°
Sites, in units of the cell vectors:
Pb 0.0448 0.0448 0.9563
Pb 0.4552 0.4552 0.5437
Al 0.7500 0.7500 0.7500
In 0.2500 0.2500 0.2500

=====

# 12
Entry from Alexandria via LeMat-Bulk: a relaxed structure of CsPb3N (PBE-GGA).

Calculated values
magnetization: 0.0 μB/f.u.
volume: 51.75 A^3/atom
raw total energy: -8.02 eV per formula unit
theoretical density: 4.93 g/cm³

a = 6.3724 Å, b = 6.3724 Å, c = 6.3724 Å
α = 90.00°, β = 90.00°, γ = 90.00°
Sites, in units of the cell vectors:
Pb 0.0000 0.5000 0.0000
Pb 0.0000 0.0000 0.5000
Pb 0.5000 0.0000 0.0000
Cs 0.0000 0.0000 0.0000
N 0.5000 0.5000 0.5000

=====

Look up the volume of the third one. 25.53 A^3/atom

=====

What is the formula in the fifth record? Sr2UN3

=====

Which formula does entry 7 have? Zn6Hg

=====

Please write out number 9 again, unchanged.
Entry from Alexandria via LeMat-Bulk: a relaxed structure of NaFeP2Cl (PBE-GGA).

Calculated values
magnetization: 3.0 μB/f.u.
volume: 23.39 A^3/atom
raw total energy: -15.89 eV per formula unit
theoretical density: 2.50 g/cm³

a = 4.9166 Å, b = 4.9166 Å, c = 4.8386 Å
α = 90.00°, β = 90.00°, γ = 90.00°
Sites, in units of the cell vectors:
P 0.0000 0.5000 0.0000
P 0.5000 0.0000 0.0000
Na 0.0000 0.0000 0.0000
Fe 0.5000 0.5000 0.5000
Cl 0.0000 0.0000 0.5000